Record 1
The following is a DFT calculation (PBEsol) of an optimized crystal structure of Li2AlSi.

POSCAR file:
```
Li2AlSi
1.0
3.768 0.000 0.000
0.000 3.768 0.000
0.000 0.000 8.246
Li Al Si
4 2 2
Direct
0.000 0.500 0.250
0.000 0.500 0.750
0.500 0.000 0.250
0.500 0.000 0.750
0.000 0.000 0.000
0.500 0.500 0.500
0.000 0.000 0.500
0.500 0.500 0.000
```

E_form (uncorrected) in eV per atom: -0.172
SG: I4/mmm



Record 2
The following is a DFT calculation (PBEsol) of an optimized crystal structure of Tm2Si4Mo3.

POSCAR file:
```
Tm2Si4Mo3
1.0
6.758 0.000 0.000
0.000 6.815 0.000
-2.157 0.000 6.282
Tm Si Mo
4 8 6
Direct
0.190 0.170 0.061
0.190 0.330 0.561
0.810 0.670 0.439
0.810 0.830 0.939
0.089 0.543 0.866
0.089 0.957 0.366
0.497 0.632 0.629
0.497 0.868 0.129
0.503 0.132 0.871
0.503 0.368 0.371
0.911 0.043 0.634
0.911 0.457 0.134
0.249 0.664 0.248
0.249 0.836 0.748
0.500 0.000 0.500
0.500 0.500 0.000
0.751 0.164 0.252
0.751 0.336 0.752
```

E_form (uncorrected) in eV per atom: -0.754
SG: P2_1/c



Record 3
The following is a DFT calculation (PBEsol) of an optimized crystal structure of Tm2Se3.

POSCAR file:
```
Tm2Se3
1.0
0.000 5.602 11.909
3.993 0.000 11.909
3.993 5.602 0.000
Tm Se
8 12
Direct
0.041 0.041 0.209
0.127 0.127 0.623
0.209 0.209 0.041
0.377 0.377 0.873
0.623 0.623 0.127
0.791 0.791 0.959
0.873 0.873 0.377
0.959 0.959 0.791
0.047 0.539 0.200
0.121 0.629 0.629
0.200 0.713 0.047
0.287 0.800 0.461
0.371 0.879 0.879
0.461 0.953 0.287
0.539 0.047 0.713
0.629 0.121 0.121
0.713 0.200 0.539
0.800 0.287 0.953
0.879 0.371 0.371
0.953 0.461 0.800
```

E_form (uncorrected) in eV per atom: -1.868
SG: Fddd



Record 4
The following is a DFT calculation (PBEsol) of an optimized crystal structure of YIn3.

POSCAR file:
```
YIn3
1.0
4.557 0.000 0.000
0.000 4.557 0.000
0.000 0.000 4.557
Y In
1 3
Direct
0.000 0.000 0.000
0.000 0.500 0.500
0.500 0.000 0.500
0.500 0.500 0.000
```

SG: Pm-3m
ΔE_f in eV/atom: -0.489



Taking the records one at a time from the top gives uncorrected energy values of -3.61 -8.32 -6.14 -4.43 eV per atom.